# GGA-PBE PaPd4Rh2, optimized geometry
# **Final energy**: -6.8567 eV/atom
# **Magnetization**: 0.0 μB/f.u.
data_PaPd4Rh2
_cell_length_a 6.987
_cell_length_b 20.549
_cell_length_c 6.715
_cell_angle_alpha 90.00
_cell_angle_beta 90.00
_cell_angle_gamma 90.00
_symmetry_space_group_name_H-M 'F d d 2'
_symmetry_Int_Tables_number 43
_symmetry_space_group_name_Hall 'F 2 -2d'
loop_
_atom_site_label
_atom_site_type_symbol
_atom_site_fract_x
_atom_site_fract_y
_atom_site_fract_z
Pa1 Pa 0.000 0.000 0.000
Pd1 Pd 0.049 0.345 0.525
Pd2 Pd 0.114 0.091 0.677
Rh1 Rh 0.079 0.223 0.707